Record 1
Rb3SeS4: relaxed, PBE-GGA.

Cell and atoms, written as CIF:
```
data_Rb3SeS4
_cell_length_a 6.7913
_cell_length_b 8.8277
_cell_length_c 10.7068
_cell_angle_alpha 90.00
_cell_angle_beta 90.00
_cell_angle_gamma 90.00
_symmetry_space_group_name_H-M 'P 1'
_symmetry_Int_Tables_number 1
loop_
_symmetry_equiv_pos_as_xyz
'x,y,z'
loop_
_atom_site_label
_atom_site_type_symbol
_atom_site_fract_x
_atom_site_fract_y
_atom_site_fract_z
_atom_site_occupancy
Se1 Se 0.4834 0.8090 0.5000 1
Rb1 Rb 0.0512 0.1361 0.5000 1
S1 S 0.0742 0.3028 0.8093 1
Rb2 Rb 0.5612 0.3209 0.7270 1
Se2 Se 0.9834 0.1910 0.0000 1
Rb3 Rb 0.5512 0.8639 0.0000 1
S2 S 0.0490 0.9347 0.0000 1
S3 S 0.0742 0.3028 0.1907 1
S4 S 0.5742 0.6972 0.3093 1
S5 S 0.5742 0.6972 0.6907 1
S6 S 0.1606 0.7870 0.5000 1
Rb4 Rb 0.0612 0.6791 0.2270 1
S7 S 0.6606 0.2130 0.0000 1
S8 S 0.5490 0.0653 0.5000 1
Rb5 Rb 0.0612 0.6791 0.7730 1
Rb6 Rb 0.5612 0.3209 0.2730 1
```

Calculated values
Magnetic moment (μB/cell): 2.08
Theoretical density (g/cm³): 2.40
Relative energy among the computed polymorphs (eV per atom): 0.146
Uncorrected formation energy (meV per atom): -539

***

Record 2
Rb10Se4S: relaxed, PBE-GGA.

Cell and atoms, written as CIF:
```
data_Rb10Se4S
_cell_length_a 8.0590
_cell_length_b 9.8670
_cell_length_c 9.8670
_cell_angle_alpha 80.40
_cell_angle_beta 65.90
_cell_angle_gamma 65.90
_symmetry_space_group_name_H-M 'P 1'
_symmetry_Int_Tables_number 1
loop_
_symmetry_equiv_pos_as_xyz
'x,y,z'
loop_
_atom_site_label
_atom_site_type_symbol
_atom_site_fract_x
_atom_site_fract_y
_atom_site_fract_z
_atom_site_occupancy
Se1 Se 0.3996 0.8016 0.3993 1
Rb1 Rb 0.4426 0.9019 0.7046 1
Rb2 Rb 0.6555 0.2954 0.9019 1
Rb3 Rb 0.8528 0.7046 0.0981 1
Rb4 Rb 0.3445 0.7046 0.0981 1
S1 S 0.0000 0.0000 0.0000 1
Rb5 Rb 0.2500 0.5000 0.5000 1
Rb6 Rb 0.9509 0.9019 0.7046 1
Rb7 Rb 0.5574 0.0981 0.2954 1
Rb8 Rb 0.7500 0.5000 0.5000 1
Rb9 Rb 0.1472 0.2954 0.9019 1
Se2 Se 0.2011 0.3993 0.1984 1
Rb10 Rb 0.0491 0.0981 0.2954 1
Se3 Se 0.6004 0.1984 0.6007 1
Se4 Se 0.7989 0.6007 0.8016 1
```

Calculated values
Magnetic moment (μB/cell): 0.00
Theoretical density (g/cm³): 3.05
Uncorrected formation energy (meV per atom): -1047

***

Record 3
Rb2SeS3: relaxed, PBE-GGA.

Cell and atoms, written as CIF:
```
data_Rb2SeS3
_cell_length_a 7.6556
_cell_length_b 7.6556
_cell_length_c 9.1230
_cell_angle_alpha 90.00
_cell_angle_beta 90.00
_cell_angle_gamma 120.00
_symmetry_space_group_name_H-M 'P 1'
_symmetry_Int_Tables_number 1
loop_
_symmetry_equiv_pos_as_xyz
'x,y,z'
loop_
_atom_site_label
_atom_site_type_symbol
_atom_site_fract_x
_atom_site_fract_y
_atom_site_fract_z
_atom_site_occupancy
S1 S 0.8188 0.6376 0.7255 1
Se1 Se 0.3333 0.6667 0.1794 1
Rb1 Rb 0.6667 0.3333 0.3753 1
S2 S 0.3624 0.1812 0.7255 1
Rb2 Rb 0.3333 0.6667 0.6247 1
S3 S 0.1812 0.3624 0.2745 1
Rb3 Rb 0.0000 0.0000 0.5000 1
Se2 Se 0.6667 0.3333 0.8206 1
S4 S 0.8188 0.1812 0.7255 1
Rb4 Rb 0.0000 0.0000 0.0000 1
S5 S 0.1812 0.8188 0.2745 1
S6 S 0.6376 0.8188 0.2745 1
```

Calculated values
Magnetic moment (μB/cell): 0.00
Theoretical density (g/cm³): 2.48
Relative energy among the computed polymorphs (eV per atom): 0.009
Uncorrected formation energy (meV per atom): -618

***

Record 4
Rb2Se2S3: relaxed, PBE-GGA.

Cell and atoms, written as CIF:
```
data_Rb2Se2S3
_cell_length_a 4.4416
_cell_length_b 6.9534
_cell_length_c 7.4946
_cell_angle_alpha 91.65
_cell_angle_beta 107.11
_cell_angle_gamma 89.88
_symmetry_space_group_name_H-M 'P 1'
_symmetry_Int_Tables_number 1
loop_
_symmetry_equiv_pos_as_xyz
'x,y,z'
loop_
_atom_site_label
_atom_site_type_symbol
_atom_site_fract_x
_atom_site_fract_y
_atom_site_fract_z
_atom_site_occupancy
S1 S 0.6672 0.2366 0.3338 1
Rb1 Rb 0.3676 0.2681 0.7324 1
Rb2 Rb 0.6324 0.7319 0.2676 1
S2 S 0.3328 0.7634 0.6662 1
Se1 Se 0.1052 0.2184 0.2092 1
S3 S 0.0000 0.5000 0.0000 1
Se2 Se 0.8948 0.7816 0.7908 1
```

Calculated values
Magnetic moment (μB/cell): 0.00
Theoretical density (g/cm³): 3.19
Relative energy among the computed polymorphs (eV per atom): 0.000
Uncorrected formation energy (meV per atom): -494

***

Record 5
Rb3SeS: relaxed, PBE-GGA.

Cell and atoms, written as CIF:
```
data_Rb3SeS
_cell_length_a 6.2620
_cell_length_b 6.2620
_cell_length_c 6.2620
_cell_angle_alpha 90.00
_cell_angle_beta 90.00
_cell_angle_gamma 90.00
_symmetry_space_group_name_H-M 'P 1'
_symmetry_Int_Tables_number 1
loop_
_symmetry_equiv_pos_as_xyz
'x,y,z'
loop_
_atom_site_label
_atom_site_type_symbol
_atom_site_fract_x
_atom_site_fract_y
_atom_site_fract_z
_atom_site_occupancy
Rb1 Rb 0.0000 0.0000 0.5000 1
S1 S 0.0000 0.0000 0.0000 1
Rb2 Rb 0.0000 0.5000 0.0000 1
Se1 Se 0.5000 0.5000 0.5000 1
Rb3 Rb 0.5000 0.0000 0.0000 1
```

Calculated values
Magnetic moment (μB/cell): 1.00
Theoretical density (g/cm³): 2.48
Relative energy among the computed polymorphs (eV per atom): 0.000
Uncorrected formation energy (meV per atom): -679

***

Record 6
Rb2Se4S3: relaxed, PBE-GGA.

Cell and atoms, written as CIF:
```
data_Rb2Se4S3
_cell_length_a 10.6638
_cell_length_b 14.3452
_cell_length_c 14.3452
_cell_angle_alpha 35.62
_cell_angle_beta 144.61
_cell_angle_gamma 144.61
_symmetry_space_group_name_H-M 'P 1'
_symmetry_Int_Tables_number 1
loop_
_symmetry_equiv_pos_as_xyz
'x,y,z'
loop_
_atom_site_label
_atom_site_type_symbol
_atom_site_fract_x
_atom_site_fract_y
_atom_site_fract_z
_atom_site_occupancy
Se1 Se 0.8771 0.9682 0.5548 1
S1 S 0.7500 0.3940 0.6060 1
S2 S 0.2500 0.6060 0.3940 1
Se2 Se 0.4985 0.9411 0.2876 1
Rb1 Rb 0.2492 0.7202 0.5386 1
Se3 Se 0.3771 0.5548 0.9682 1
Rb2 Rb 0.7508 0.2798 0.4614 1
Rb3 Rb 0.7492 0.5386 0.7202 1
Se4 Se 0.9985 0.2876 0.9411 1
S3 S 0.6384 0.2794 0.0583 1
Se5 Se 0.0015 0.7124 0.0589 1
Se6 Se 0.5015 0.0589 0.7124 1
S4 S 0.8616 0.9417 0.7206 1
S5 S 0.1384 0.0583 0.2794 1
Se7 Se 0.1229 0.0318 0.4452 1
S6 S 0.3616 0.7206 0.9417 1
Rb4 Rb 0.2508 0.4614 0.2798 1
Se8 Se 0.6229 0.4452 0.0318 1
```

Calculated values
Magnetic moment (μB/cell): 0.00
Theoretical density (g/cm³): 2.93
Uncorrected formation energy (meV per atom): -390

***

Record 7
Rb4SeS4: relaxed, PBE-GGA.

Cell and atoms, written as CIF:
```
data_Rb4SeS4
_cell_length_a 6.5878
_cell_length_b 7.7300
_cell_length_c 7.7300
_cell_angle_alpha 79.54
_cell_angle_beta 64.78
_cell_angle_gamma 64.78
_symmetry_space_group_name_H-M 'P 1'
_symmetry_Int_Tables_number 1
loop_
_symmetry_equiv_pos_as_xyz
'x,y,z'
loop_
_atom_site_label
_atom_site_type_symbol
_atom_site_fract_x
_atom_site_fract_y
_atom_site_fract_z
_atom_site_occupancy
Rb1 Rb 0.7953 0.6185 0.7910 1
Se1 Se 0.0000 0.0000 0.0000 1
Rb2 Rb 0.2047 0.3815 0.2090 1
S1 S 0.2387 0.6835 0.8390 1
S2 S 0.0777 0.1610 0.6835 1
S3 S 0.7613 0.3165 0.1610 1
S4 S 0.9223 0.8390 0.3165 1
Rb3 Rb 0.4137 0.7910 0.3815 1
Rb4 Rb 0.5863 0.2090 0.6185 1
```

Calculated values
Magnetic moment (μB/cell): 1.40
Theoretical density (g/cm³): 2.83
Uncorrected formation energy (meV per atom): -588

***

Record 8
Rb2Se4S5: relaxed, PBE-GGA.

Cell and atoms, written as CIF:
```
data_Rb2Se4S5
_cell_length_a 11.7400
_cell_length_b 10.1836
_cell_length_c 6.0844
_cell_angle_alpha 33.19
_cell_angle_beta 91.83
_cell_angle_gamma 90.00
_symmetry_space_group_name_H-M 'P 1'
_symmetry_Int_Tables_number 1
loop_
_symmetry_equiv_pos_as_xyz
'x,y,z'
loop_
_atom_site_label
_atom_site_type_symbol
_atom_site_fract_x
_atom_site_fract_y
_atom_site_fract_z
_atom_site_occupancy
S1 S 0.9192 0.8738 0.8754 1
Se1 Se 0.9190 0.2622 0.4755 1
S2 S 0.5000 0.0000 0.0000 1
Se2 Se 0.5566 0.3450 0.3100 1
S3 S 0.0808 0.1262 0.1246 1
Se3 Se 0.4434 0.6550 0.6900 1
Rb1 Rb 0.2489 0.2571 0.4858 1
Se4 Se 0.0810 0.7378 0.5245 1
S4 S 0.0808 0.7491 0.1246 1
S5 S 0.9192 0.2509 0.8754 1
Rb2 Rb 0.7511 0.7429 0.5142 1
```

Calculated values
Magnetic moment (μB/cell): 0.00
Theoretical density (g/cm³): 2.70
Uncorrected formation energy (meV per atom): -229

***

Record 9
Rb2SeS3: relaxed, PBE-GGA.

Cell and atoms, written as CIF:
```
data_Rb2SeS3
_cell_length_a 6.5321
_cell_length_b 6.7913
_cell_length_c 11.2045
_cell_angle_alpha 117.00
_cell_angle_beta 90.00
_cell_angle_gamma 118.75
_symmetry_space_group_name_H-M 'P 1'
_symmetry_Int_Tables_number 1
loop_
_symmetry_equiv_pos_as_xyz
'x,y,z'
loop_
_atom_site_label
_atom_site_type_symbol
_atom_site_fract_x
_atom_site_fract_y
_atom_site_fract_z
_atom_site_occupancy
Rb1 Rb 0.8310 0.3378 0.1113 1
S1 S 0.2770 0.0000 0.2500 1
Rb2 Rb 0.5069 0.3378 0.6113 1
S2 S 0.9974 0.3515 0.5071 1
S3 S 0.3540 0.3515 0.0071 1
S4 S 0.7230 0.0000 0.7500 1
Rb3 Rb 0.4931 0.6622 0.3887 1
Rb4 Rb 0.1690 0.6622 0.8887 1
S5 S 0.6460 0.6485 0.9929 1
Se1 Se 0.9373 0.0000 0.2500 1
S6 S 0.0026 0.6485 0.4929 1
Se2 Se 0.0627 0.0000 0.7500 1
```

Calculated values
Magnetic moment (μB/cell): 0.00
Theoretical density (g/cm³): 3.08
Relative energy among the computed polymorphs (eV per atom): 0.000
Uncorrected formation energy (meV per atom): -627

***

Record 10
Rb2Se2S3: relaxed, PBE-GGA.

Cell and atoms, written as CIF:
```
data_Rb2Se2S3
_cell_length_a 5.2788
_cell_length_b 6.1383
_cell_length_c 8.3253
_cell_angle_alpha 109.76
_cell_angle_beta 108.48
_cell_angle_gamma 90.00
_symmetry_space_group_name_H-M 'P 1'
_symmetry_Int_Tables_number 1
loop_
_symmetry_equiv_pos_as_xyz
'x,y,z'
loop_
_atom_site_label
_atom_site_type_symbol
_atom_site_fract_x
_atom_site_fract_y
_atom_site_fract_z
_atom_site_occupancy
S1 S 0.2019 0.6433 0.4039 1
S2 S 0.0000 0.0000 0.0000 1
Rb1 Rb 0.6076 0.8412 0.2153 1
S3 S 0.7981 0.3567 0.5961 1
Se1 Se 0.8363 0.7269 0.6726 1
Rb2 Rb 0.3924 0.1588 0.7847 1
Se2 Se 0.1637 0.2731 0.3274 1
```

Calculated values
Magnetic moment (μB/cell): 0.00
Theoretical density (g/cm³): 2.95
Relative energy among the computed polymorphs (eV per atom): 0.042
Uncorrected formation energy (meV per atom): -453